## CoRh2O6 (GGA+U)

Data for CoRh2O6 after structural relaxation.

Values from the calculation:
The density of states at the Fermi level comes out at 7.8 states/eV/f.u. Its space-group type is P-31m. Its distance to the lowest polymorph of the same formula is 0.403 eV/f.u. As for the volume: 109.7 Å³ per cell.

The structure in extended XYZ format:
```
9
Lattice="5.190 0.000 0.000 -2.595 4.495 0.000 0.000 0.000 4.702" Properties=species:S:1:pos:R:3 pbc="T T T"
Co 0.000 0.000 0.000
Rh 0.000 2.997 0.000
Rh 2.595 1.498 0.000
O -0.830 1.437 3.751
O -1.765 3.058 0.951
O 1.659 0.000 3.751
O 0.830 1.437 0.951
O 3.531 0.000 0.951
O 1.765 3.058 3.751
```